Entry 1:
A plane-wave DFT calculation with GGA-PBE was carried out for a geometry-optimized Be2CuTe structure.

The structure in POSCAR format:
```
Be2CuTe
1.0
-0.825 4.053 1.537
-3.962 0.954 1.690
-0.446 0.665 4.339
Be Cu Te
2 1 1
Cartesian
-1.308 1.418 1.892 Be
0.000 0.000 0.000 Be
-2.616 2.836 3.783 Cu
-3.925 4.254 5.675 Te
```

Output
total magnetization: 0.0 μB per cell
energy: -2.8583 eV per atom
uncorrected formation energy: 18.8 kcal/mol of atoms

***

Entry 2:
A plane-wave DFT calculation with GGA-PBE was carried out for a geometry-optimized HoHfP structure.

The structure in POSCAR format:
```
HoHfP
1.0
3.993 0.024 -0.179
-0.033 3.993 -0.179
-1.641 -1.665 7.835
Hf Ho P
2 2 2
Cartesian
1.996 0.012 -0.090 Hf
-0.017 1.996 -0.090 Hf
0.218 0.221 4.927 Ho
2.101 2.131 2.549 Ho
0.086 0.087 1.968 P
2.232 2.264 5.508 P
```

Output
total magnetization: 0.0 μB per cell
energy: -7.6242 eV per atom
energy relative to the elements: -0.98 eV per atom